A relaxed structure of Rb3Te2Pb. Source: Alexandria, functional PBE.

Output
DOS(E_F)	0.588	states/eV/atom
formation energy (no corrections)	-0.634	eV/atom

Lattice parameters (Å, degrees): 10.450 10.450 10.450 130.74 70.40 133.07
Sites, in units of the cell vectors:
Rb (0.014, 0.750, 0.264)
Rb (0.250, 0.250, 0.000)
Rb (0.486, 0.750, 0.736)
Rb (0.514, 0.250, 0.264)
Rb (0.750, 0.750, 0.000)
Rb (0.986, 0.250, 0.736)
Te (0.130, 0.232, 0.361)
Te (0.370, 0.732, 0.102)
Te (0.630, 0.268, 0.898)
Te (0.870, 0.768, 0.639)
Pb (0.000, 0.500, 0.500)
Pb (0.500, 0.000, 0.500)